Material: NdSc2AlPd4
Method: DFT, GGA-PBE
State: optimized geometry

Formation energy, eV/f.u.: -6.7
Volume, Å³/cell: 153.0
Size of the total moment, μB per formula unit: 0.000
Space-group type: R-3m (166)

Cell: 8.8033 8.8033 8.8033 Å, 30.20 30.20 30.20°
Sites, in units of the cell vectors:
Nd1 0.0000 0.0000 0.0000
Sc1 0.2396 0.2396 0.2396
Sc2 0.7604 0.7604 0.7604
Al1 0.5000 0.5000 0.5000
Pd1 0.1317 0.1317 0.1317
Pd2 0.3986 0.3986 0.3986
Pd3 0.6014 0.6014 0.6014
Pd4 0.8683 0.8683 0.8683



Material: LaNd2Cd4
Method: DFT, GGA-PBE
State: optimized geometry

Formation energy, eV/f.u.: -0.9
Volume, Å³/cell: 220.0
Size of the total moment, μB per formula unit: 0.000
Space-group type: R-3m (166)

Cell: 9.3193 9.3193 9.3193 Å, 33.54 33.54 33.54°
Sites, in units of the cell vectors:
La1 0.0000 0.0000 0.0000
Nd1 0.2476 0.2476 0.2476
Nd2 0.7524 0.7524 0.7524
Cd1 0.1258 0.1258 0.1258
Cd2 0.3837 0.3837 0.3837
Cd3 0.6163 0.6163 0.6163
Cd4 0.8742 0.8742 0.8742



Material: HfNb2CuH
Method: DFT, GGA-PBE
State: optimized geometry

Energy relative to the lowest polymorph listed for this composition, eV per formula unit: 0.00
Volume, Å³/cell: 73.5
Size of the total moment, μB per formula unit: 0.000
Space-group type: P4/mmm (123)

Cell: 4.0186 4.0186 4.5497 Å, 90.00 90.00 90.00°
Sites, in units of the cell vectors:
Hf1 0.0000 0.0000 0.0000
Nb1 0.0000 0.5000 0.5000
Nb2 0.5000 0.0000 0.5000
Cu1 0.5000 0.5000 0.0000
H1 0.0000 0.0000 0.5000



Material: Fe2RhW
Method: DFT, GGA-PBE
State: optimized geometry

Energy relative to the lowest polymorph listed for this composition, eV per formula unit: 0.00
Formation energy, eV/f.u.: 0.0
Volume, Å³/cell: 51.1
Size of the total moment, μB per formula unit: 1.342
Space-group type: P4/mmm (123)

Cell: 3.7462 3.7462 3.6443 Å, 90.00 90.00 90.00°
Sites, in units of the cell vectors:
Fe1 0.0000 0.5000 0.0000
Fe2 0.5000 0.0000 0.0000
Rh1 0.0000 0.0000 0.5000
W1 0.5000 0.5000 0.5000



Material: Li2HoSnTe4
Method: DFT, GGA-PBE
State: optimized geometry

Formation energy from raw total energies, kJ/mol of formula units: -673
Volume, Å³/cell: 227.4
Size of the total moment, μB per formula unit: 0.000
Space-group type: P2/m (10)

Cell: 7.4547 4.2907 7.5609 Å, 90.00 109.89 90.00°
Sites, in units of the cell vectors:
Li1 0.0000 0.0000 0.0000
Li2 0.0000 0.5000 0.5000
Ho1 0.5000 0.0000 0.5000
Sn1 0.5000 0.5000 0.0000
Te1 0.2417 0.0000 0.7449
Te2 0.2446 0.5000 0.2461
Te3 0.7554 0.5000 0.7539
Te4 0.7583 0.0000 0.2551



Material: Cs2PuSnI6
Method: DFT, GGA-PBE
State: optimized geometry

Formation energy from raw total energies, kJ/mol of formula units: -1031
Volume, Å³/cell: 1018.4
Size of the total moment, μB per formula unit: 6.006
Space-group type: Pmmn (59)

Cell: 8.9787 12.6701 8.9519 Å, 90.00 90.00 90.00°
Sites, in units of the cell vectors:
Cs1 0.2500 0.0080 0.2481
Cs2 0.2500 0.4920 0.2481
Cs3 0.7500 0.5080 0.7519
Cs4 0.7500 0.9920 0.7519
Pu1 0.2500 0.2500 0.7486
Pu2 0.7500 0.7500 0.2514
Sn1 0.2500 0.7500 0.7508
Sn2 0.7500 0.2500 0.2492
I1 0.0022 0.2500 0.9979
I2 0.0035 0.2500 0.4982
I3 0.2500 0.0014 0.7500
I4 0.2500 0.4986 0.7500
I5 0.4965 0.2500 0.4982
I6 0.4978 0.2500 0.9979
I7 0.5022 0.7500 0.0021
I8 0.5035 0.7500 0.5018
I9 0.7500 0.5014 0.2500
I10 0.7500 0.9986 0.2500
I11 0.9965 0.7500 0.5018
I12 0.9978 0.7500 0.0021



Material: Rb2SrTl12In3
Method: DFT, GGA-PBE
State: optimized geometry

Formation energy, eV/f.u.: 0.9
Volume, Å³/cell: 686.5
Size of the total moment, μB per formula unit: 0.000
Space-group type: R-3m (166)

Cell: 12.0848 12.0848 12.0848 Å, 41.02 41.02 41.02°
Sites, in units of the cell vectors:
Rb1 0.1413 0.1413 0.1413
Rb2 0.8587 0.8587 0.8587
Sr1 0.5000 0.5000 0.5000
Tl1 0.0520 0.6204 0.6204
Tl2 0.0841 0.0841 0.7010
Tl3 0.0841 0.7010 0.0841
Tl4 0.2990 0.9159 0.9159
Tl5 0.3796 0.3796 0.9480
Tl6 0.3796 0.9480 0.3796
Tl7 0.6204 0.0520 0.6204
Tl8 0.6204 0.6204 0.0520
Tl9 0.7010 0.0841 0.0841
Tl10 0.9159 0.2990 0.9159
Tl11 0.9159 0.9159 0.2990
Tl12 0.9480 0.3796 0.3796
In1 0.0000 0.5000 0.5000
In2 0.5000 0.0000 0.5000
In3 0.5000 0.5000 0.0000



Material: ZnMo2S
Method: DFT, GGA-PBE
State: optimized geometry

Formation energy from raw total energies, kJ/mol of formula units: 122
Volume, Å³/cell: 56.9
Size of the total moment, μB per formula unit: 0.000
Space-group type: Fm-3m (225)

Cell: 4.3178 4.3178 4.3178 Å, 60.00 60.00 60.00°
Sites, in units of the cell vectors:
Zn1 0.0000 0.0000 0.0000
Mo1 0.2500 0.2500 0.2500
Mo2 0.7500 0.7500 0.7500
S1 0.5000 0.5000 0.5000